A geometry-optimized CuPd structure. Source: the Alexandria database, functional PBE.

Cell and atoms, written as extended XYZ:
```
8
Lattice="4.946 0.000 0.000 0.000 4.946 0.000 0.000 0.000 5.039" Properties=species:S:1:pos:R:3 pbc="T T T"
Cu 0.919 0.919 0.000
Cu 1.553 3.392 2.520
Cu 3.392 1.553 2.520
Cu 4.026 4.026 0.000
Pd 0.949 0.949 2.520
Pd 1.524 3.422 0.000
Pd 3.422 1.524 0.000
Pd 3.997 3.997 2.520
```

Properties
Electronic total energy   -4.36 eV/atom

A geometry-optimized CuPd4 structure. Source: the Alexandria database, functional PBE.

Cell and atoms, written as extended XYZ:
```
5
Lattice="4.542 0.000 0.000 0.000 4.542 0.000 0.000 0.000 4.542" Properties=species:S:1:pos:R:3 pbc="T T T"
Cu 0.000 0.000 0.000
Pd 0.000 0.000 2.271
Pd 0.000 2.271 0.000
Pd 2.271 0.000 0.000
Pd 2.271 2.271 2.271
```

Properties
Polymorph energy (0 for the lowest one)   0.8597 eV/atom

A geometry-optimized Cu3Pd structure. Source: the Alexandria database, functional PBE.

Cell and atoms, written as extended XYZ:
```
4
Lattice="-1.389 4.255 2.193 1.389 -4.255 2.193 1.389 4.255 -2.193" Properties=species:S:1:pos:R:3 pbc="T T T"
Cu 0.000 0.000 0.000
Cu 1.389 2.079 0.536
Cu 0.000 2.176 2.729
Pd 0.000 4.255 0.015
```

Properties
Electronic total energy   -4.43 eV/atom

A geometry-optimized Cu3Pd13 structure. Source: the Alexandria database, functional PBE.

Cell and atoms, written as extended XYZ:
```
16
Lattice="7.777 0.000 0.000 0.000 3.911 3.918 0.000 -3.911 3.918" Properties=species:S:1:pos:R:3 pbc="T T T"
Cu 0.000 0.000 0.000
Cu 1.939 0.000 1.943
Cu 5.838 0.000 1.943
Pd 0.000 -1.893 1.936
Pd 0.000 1.893 1.936
Pd 0.000 0.000 3.885
Pd 1.906 0.000 5.890
Pd 1.918 -1.975 3.914
Pd 1.918 1.975 3.914
Pd 3.889 -1.935 1.957
Pd 3.889 0.000 0.024
Pd 3.889 0.000 3.885
Pd 3.889 1.935 1.957
Pd 5.859 -1.975 3.914
Pd 5.859 1.975 3.914
Pd 5.872 0.000 5.890
```

Properties
Electronic total energy   -5.01 eV/atom

A geometry-optimized CuPd structure. Source: the Alexandria database, functional PBE.

Cell and atoms, written as extended XYZ:
```
2
Lattice="1.369 0.790 4.281 -1.369 0.790 4.281 0.000 -1.581 4.281" Properties=species:S:1:pos:R:3 pbc="T T T"
Cu 0.000 0.000 0.000
Pd 0.000 0.000 6.421
```

Properties
Electronic total energy   -4.73 eV/atom

A geometry-optimized Cu5Pd6 structure. Source: the Alexandria database, functional PBE.

Cell and atoms, written as extended XYZ:
```
11
Lattice="2.109 -6.302 0.000 2.109 6.302 0.000 0.000 0.000 6.002" Properties=species:S:1:pos:R:3 pbc="T T T"
Cu 0.000 0.000 0.000
Cu 2.109 2.170 3.001
Cu 2.109 2.130 0.000
Cu 2.109 -2.130 0.000
Cu 2.109 -2.170 3.001
Pd 2.109 4.282 1.535
Pd 2.109 4.282 4.467
Pd 2.109 0.000 1.570
Pd 2.109 0.000 4.432
Pd 2.109 -4.282 1.535
Pd 2.109 -4.282 4.467
```

Properties
Polymorph energy (0 for the lowest one)   0.0000 eV/atom

A geometry-optimized CuPd8 structure. Source: the Alexandria database, functional PBE.

Cell and atoms, written as extended XYZ:
```
9
Lattice="-4.165 4.165 1.959 4.165 -4.165 1.959 4.165 4.165 -1.959" Properties=species:S:1:pos:R:3 pbc="T T T"
Cu 0.000 0.000 0.000
Pd 2.749 0.000 0.000
Pd 5.580 0.000 0.000
Pd 0.000 2.749 0.000
Pd 2.804 2.804 0.000
Pd 1.361 -1.361 1.959
Pd -1.361 1.361 1.959
Pd 1.361 1.361 1.959
Pd 0.000 5.580 0.000
```

Properties
Electronic total energy   -5.09 eV/atom

A geometry-optimized Cu7Pd structure. Source: the Alexandria database, functional PBE.

Cell and atoms, written as extended XYZ:
```
8
Lattice="0.000 3.678 3.678 3.678 0.000 3.678 3.678 3.678 0.000" Properties=species:S:1:pos:R:3 pbc="T T T"
Cu 0.000 0.000 0.000
Cu 1.839 1.839 0.000
Cu 1.839 0.000 1.839
Cu 3.678 1.839 1.839
Cu 0.000 1.839 1.839
Cu 1.839 3.678 1.839
Cu 1.839 1.839 3.678
Pd 3.678 3.678 3.678
```

Properties
Electronic total energy   -4.28 eV/atom

A geometry-optimized Cu3Pd structure. Source: the Alexandria database, functional PBE.

Cell and atoms, written as extended XYZ:
```
4
Lattice="2.755 0.000 0.000 0.000 4.266 0.000 0.000 0.000 4.414" Properties=species:S:1:pos:R:3 pbc="T T T"
Cu 0.000 0.000 0.000
Cu 0.000 2.133 1.550
Cu 1.377 0.000 2.162
Pd 1.377 2.133 3.758
```

Properties
Electronic total energy   -4.43 eV/atom

A geometry-optimized CuPd structure. Source: the Alexandria database, functional PBE.

Cell and atoms, written as extended XYZ:
```
8
Lattice="-3.791 3.791 3.791 3.791 -3.791 3.791 3.791 3.791 -3.791" Properties=species:S:1:pos:R:3 pbc="T T T"
Cu 2.362 2.362 -2.362
Cu 2.362 -2.362 2.362
Cu 1.429 1.429 1.429
Cu -2.362 2.362 2.362
Pd 0.990 0.990 -0.990
Pd 0.990 -0.990 0.990
Pd -0.990 0.990 0.990
Pd 2.801 2.801 2.801
```

Properties
Electronic total energy   -3.71 eV/atom

A geometry-optimized Cu5Pd structure. Source: the Alexandria database, functional PBE.

Cell and atoms, written as extended XYZ:
```
6
Lattice="4.106 -1.880 0.000 4.106 1.880 0.000 -1.646 0.000 4.884" Properties=species:S:1:pos:R:3 pbc="T T T"
Cu 0.000 0.000 0.000
Cu 2.432 0.000 0.787
Cu 1.648 0.000 3.292
Cu 4.918 0.000 1.592
Cu 4.134 0.000 4.097
Pd -0.823 0.000 2.442
```

Properties
Electronic total energy   -4.34 eV/atom

A geometry-optimized Cu13Pd2 structure. Source: the Alexandria database, functional PBE.

Cell and atoms, written as extended XYZ:
```
15
Lattice="5.726 0.000 0.000 0.635 5.822 0.000 2.200 2.095 5.604" Properties=species:S:1:pos:R:3 pbc="T T T"
Cu 0.000 0.000 0.000
Cu 1.742 5.156 2.226
Cu 1.728 1.553 1.132
Cu 3.453 6.717 3.363
Cu 2.375 3.913 0.002
Cu 3.386 3.135 2.222
Cu 4.539 2.424 4.468
Cu 4.022 5.493 1.135
Cu 5.175 4.782 3.381
Cu 6.186 4.005 5.601
Cu 5.107 1.201 2.241
Cu 6.833 6.364 4.472
Cu 6.819 2.762 3.378
Pd 2.833 4.377 4.443
Pd 5.728 3.541 1.161
```

Properties
Polymorph energy (0 for the lowest one)   0.0000 eV/atom

A geometry-optimized CuPd structure. Source: the Alexandria database, functional PBE.

Cell and atoms, written as extended XYZ:
```
16
Lattice="9.559 0.000 0.000 0.000 4.372 0.000 0.000 0.000 5.291" Properties=species:S:1:pos:R:3 pbc="T T T"
Cu 0.817 1.093 1.155
Cu 1.712 3.279 2.533
Cu 3.067 1.093 5.178
Cu 3.963 3.279 3.801
Cu 5.596 1.093 1.490
Cu 6.492 3.279 0.112
Cu 7.846 1.093 2.758
Cu 8.742 3.279 4.135
Pd 0.663 1.093 3.738
Pd 1.623 3.279 5.170
Pd 3.156 1.093 2.525
Pd 4.117 3.279 1.093
Pd 5.442 1.093 4.198
Pd 6.402 3.279 2.766
Pd 7.936 1.093 0.121
Pd 8.896 3.279 1.552
```

Properties
Electronic total energy   -4.74 eV/atom

A geometry-optimized Cu13Pd3 structure. Source: the Alexandria database, functional PBE.

Cell and atoms, written as extended XYZ:
```
16
Lattice="7.547 0.000 0.000 0.000 3.559 3.766 0.000 -3.559 3.766" Properties=species:S:1:pos:R:3 pbc="T T T"
Cu 0.000 0.000 0.000
Cu 0.000 0.000 3.812
Cu 0.000 -1.713 5.672
Cu 0.000 1.713 5.672
Cu 1.855 -1.772 3.786
Cu 1.855 1.772 3.786
Cu 1.874 0.000 5.641
Cu 3.773 -1.761 5.626
Cu 3.773 0.000 3.788
Cu 3.773 1.761 5.626
Cu 5.673 0.000 5.641
Cu 5.692 -1.772 3.786
Cu 5.692 1.772 3.786
Pd 1.843 0.000 1.922
Pd 3.773 0.000 7.480
Pd 5.704 0.000 1.922
```

Properties
Electronic total energy   -4.37 eV/atom

A geometry-optimized Cu3Pd7 structure. Source: the Alexandria database, functional PBE.

Cell and atoms, written as extended XYZ:
```
10
Lattice="7.023 -1.922 0.000 7.023 1.922 0.000 -1.188 0.000 5.371" Properties=species:S:1:pos:R:3 pbc="T T T"
Cu 0.000 0.000 0.000
Cu 2.099 0.000 3.224
Cu 10.760 0.000 2.147
Pd -0.594 0.000 2.685
Pd 2.703 0.000 0.579
Pd 4.744 0.000 3.728
Pd 5.404 0.000 1.053
Pd 7.455 0.000 4.318
Pd 8.115 0.000 1.643
Pd 10.155 0.000 4.792
```

Properties
Polymorph energy (0 for the lowest one)   0.0000 eV/atom

A geometry-optimized Cu7Pd3 structure. Source: the Alexandria database, functional PBE.

Cell and atoms, written as extended XYZ:
```
10
Lattice="6.729 -1.897 0.000 6.729 1.897 0.000 -1.213 0.000 5.119" Properties=species:S:1:pos:R:3 pbc="T T T"
Cu 0.000 0.000 0.000
Cu 1.958 0.000 3.079
Cu 4.543 0.000 3.552
Cu 5.169 0.000 1.000
Cu 7.077 0.000 4.119
Cu 7.702 0.000 1.567
Cu 10.288 0.000 2.040
Pd -0.606 0.000 2.560
Pd 2.520 0.000 0.553
Pd 9.726 0.000 4.566
```

Properties
Electronic total energy   -4.53 eV/atom

A geometry-optimized CuPd structure. Source: the Alexandria database, functional PBE.

Cell and atoms, written as extended XYZ:
```
8
Lattice="0.000 5.226 7.923 1.349 0.000 7.923 1.349 5.226 0.000" Properties=species:S:1:pos:R:3 pbc="T T T"
Cu 1.011 0.201 5.942
Cu 1.686 2.814 9.904
Cu 1.011 7.638 5.942
Cu 1.686 10.251 9.904
Pd 1.011 3.920 4.236
Pd 1.011 3.920 7.648
Pd 1.686 6.533 8.197
Pd 1.686 6.533 11.610
```

Properties
Electronic total energy   -4.69 eV/atom

A geometry-optimized Cu6Pd5 structure. Source: the Alexandria database, functional PBE.

Cell and atoms, written as extended XYZ:
```
11
Lattice="3.705 -5.134 0.000 3.705 5.134 0.000 -2.007 0.000 4.087" Properties=species:S:1:pos:R:3 pbc="T T T"
Cu 1.100 1.340 0.535
Cu 0.123 0.000 2.604
Cu 1.100 -1.340 0.535
Cu 4.304 1.340 3.553
Cu 5.281 0.000 1.483
Cu 4.304 -1.340 3.553
Pd 2.702 2.901 2.044
Pd 3.705 1.454 0.000
Pd 2.702 0.000 2.044
Pd 3.705 -1.454 0.000
Pd 2.702 -2.901 2.044
```

Properties
Polymorph energy (0 for the lowest one)   0.0146 eV/atom

A geometry-optimized Cu7Pd2 structure. Source: the Alexandria database, functional PBE.

Cell and atoms, written as extended XYZ:
```
18
Lattice="2.396 1.383 12.204 -2.396 1.383 12.204 0.000 -2.766 12.204" Properties=species:S:1:pos:R:3 pbc="T T T"
Cu 0.000 0.000 0.000
Cu -2.396 0.000 18.306
Cu -1.198 0.692 6.102
Cu 0.000 0.000 4.044
Cu 0.000 -1.370 10.239
Cu -1.186 0.685 10.239
Cu 0.000 0.000 8.147
Cu -1.186 -0.685 26.374
Cu 1.198 0.692 6.102
Cu 1.186 0.685 10.239
Cu 0.000 0.000 28.466
Cu 1.186 -0.685 26.374
Cu 0.000 1.370 26.374
Cu 0.000 0.000 32.568
Pd 0.000 0.000 12.716
Pd 0.000 0.000 15.638
Pd 0.000 0.000 20.974
Pd 0.000 0.000 23.896
```

Properties
Polymorph energy (0 for the lowest one)   0.0925 eV/atom

A geometry-optimized Cu7Pd2 structure. Source: the Alexandria database, functional PBE.

Cell and atoms, written as extended XYZ:
```
9
Lattice="4.577 0.000 0.000 -2.289 3.964 0.000 0.000 0.000 6.379" Properties=species:S:1:pos:R:3 pbc="T T T"
Cu 0.000 0.000 0.000
Cu -0.755 1.308 4.211
Cu -1.533 2.656 2.168
Cu 1.511 0.000 4.211
Cu 0.755 1.308 2.168
Cu 3.067 0.000 2.168
Cu 1.533 2.656 4.211
Pd 0.000 2.643 0.000
Pd 2.289 1.321 0.000
```

Properties
Polymorph energy (0 for the lowest one)   0.0000 eV/atom

A geometry-optimized CuPd5 structure. Source: the Alexandria database, functional PBE.

Cell and atoms, written as extended XYZ:
```
6
Lattice="1.947 -5.903 0.000 1.947 5.903 0.000 0.000 0.000 3.895" Properties=species:S:1:pos:R:3 pbc="T T T"
Cu 0.000 0.000 0.000
Pd 1.947 3.961 1.948
Pd 1.947 1.923 0.000
Pd 1.947 0.000 1.948
Pd 1.947 -1.923 0.000
Pd 1.947 -3.961 1.948
```

Properties
Polymorph energy (0 for the lowest one)   0.0000 eV/atom